TbHg | PBE-GGA | optimized geometry

a b c (Å): 3.7379 3.7379 3.7379
angles (deg): 90.00 90.00 90.00
Atoms (fractional coordinates):
Tb1 0.0000 0.0000 0.0000
Hg1 0.5000 0.5000 0.5000

Properties
Symmetry: Pm-3m (221)
E_form: -0.48 eV per atom

***

DyTm2Pt | PBE-GGA | optimized geometry

a b c (Å): 9.2277 9.2277 9.2277
angles (deg): 24.18 24.18 24.18
Atoms (fractional coordinates):
Dy1 0.0000 0.0000 0.0000
Tm1 0.2296 0.2296 0.2296
Tm2 0.4411 0.4411 0.4411
Pt1 0.8359 0.8359 0.8359

Properties
Energy relative to the lowest polymorph listed for this composition: 199 meV/atom
Symmetry: R3m (160)
E_form: -0.54 eV per atom

***

CoIrOs2 | PBE-GGA | optimized geometry

a b c (Å): 2.7089 2.7089 7.3929
angles (deg): 90.00 90.00 90.00
Atoms (fractional coordinates):
Co1 0.0000 0.0000 0.0000
Ir1 0.5000 0.5000 0.2428
Os1 0.0000 0.0000 0.5045
Os2 0.5000 0.5000 0.7628

Properties
Energy relative to the lowest polymorph listed for this composition: 18 meV/atom
Symmetry: P4mm (99)
E_form: 0.11 eV per atom

***

SrCr2As2 | PBE-GGA | optimized geometry

a b c (Å): 6.7650 6.7650 6.7650
angles (deg): 144.79 144.79 50.65
Atoms (fractional coordinates):
Sr1 0.0000 0.0000 0.0000
Cr1 0.2500 0.7500 0.5000
Cr2 0.7500 0.2500 0.5000
As1 0.3596 0.3596 0.0000
As2 0.6404 0.6404 0.0000

Properties
Energy relative to the lowest polymorph listed for this composition: 0 meV/atom
Symmetry: I4/mmm (139)
E_form: -0.46 eV per atom

***

Sr2SnPd4 | PBE-GGA | optimized geometry

a b c (Å): 8.4460 8.4460 8.4460
angles (deg): 145.35 145.35 49.82
Atoms (fractional coordinates):
Sr1 0.1359 0.1359 0.0000
Sr2 0.8641 0.8641 0.0000
Sn1 0.5000 0.5000 0.0000
Pd1 0.0000 0.5000 0.5000
Pd2 0.3313 0.3313 0.0000
Pd3 0.5000 0.0000 0.5000
Pd4 0.6687 0.6687 0.0000

Properties
Symmetry: I4/mmm (139)
E_form: -0.25 eV per atom

***

MoOs2 | PBE-GGA | optimized geometry

a b c (Å): 5.0391 5.0391 5.0391
angles (deg): 102.88 102.88 123.66
Atoms (fractional coordinates):
Mo1 0.2500 0.2500 0.0000
Mo2 0.7500 0.7500 0.0000
Os1 0.1395 0.6395 0.7790
Os2 0.3605 0.1395 0.5000
Os3 0.6395 0.8605 0.5000
Os4 0.8605 0.3605 0.2210

Properties
Energy relative to the lowest polymorph listed for this composition: 447 meV/atom
Symmetry: I4/mcm (140)
E_form: 0.43 eV per atom

***

Summary of energy in eV/atom
-2.947; -5.437; -9.498; -6.507; -4.265; -10.669
(order as listed above)